Below is a relaxed PmGaCl2 crystal, with properties calculated at the GGA-PBE level.

Unit cell a=4.0016 b=4.0016 c=27.4894 alpha=90.00 beta=90.00 gamma=120.00
Sites, in units of the cell vectors:
Pm (0.0000, 0.0000, 0.0000)
Pm (0.3333, 0.6667, 0.6667)
Pm (0.6667, 0.3333, 0.3333)
Ga (0.0000, 0.0000, 0.5000)
Ga (0.3333, 0.6667, 0.1667)
Ga (0.6667, 0.3333, 0.8333)
Cl (0.0000, 0.0000, 0.0984)
Cl (0.0000, 0.0000, 0.9016)
Cl (0.3333, 0.6667, 0.5682)
Cl (0.3333, 0.6667, 0.7651)
Cl (0.6667, 0.3333, 0.2349)
Cl (0.6667, 0.3333, 0.4318)

- N(E_F) (states/eV per atom) = 0.265
- ΔE_f (raw) (kJ per mole of atoms) = -87.8